# VWO2F

A relaxed VWO2F crystal (PBE with a Hubbard U, Alexandria via LeMat-Bulk).

Results
The space-group type is P4/mmm (123). The value obtained for the total energy is -6.45 eV/atom.

Cell lengths 4.077, 4.077, 4.281 Å; angles 90.00, 90.00, 90.00 degrees
Positions (direct):
V 0.000 0.000 0.000
W 0.500 0.500 0.500
O 0.000 0.500 0.500
O 0.500 0.000 0.500
F 0.500 0.500 0.000